--- one ---
A relaxed structure of Li7Mn2Co3O12, computed with PBE+U.

Lattice parameters (Å, degrees): 2.929 5.930 12.664 77.23 89.18 88.04
Positions (direct):
1 Li 0.000 0.000 0.000
2 Li 0.002 0.687 0.650
3 Li 0.005 0.329 0.333
4 Li 0.490 0.163 0.166
5 Li 0.496 0.500 0.487
6 Li 0.508 0.012 0.490
7 Li 0.518 0.850 0.820
8 Mn 0.478 0.332 0.827
9 Mn 0.998 0.509 0.999
10 Co 0.002 0.839 0.334
11 Co 0.505 0.674 0.164
12 Co 0.996 0.166 0.641
13 O 0.001 0.259 0.498
14 O 0.004 0.759 0.475
15 O 0.022 0.454 0.158
16 O 0.454 0.267 0.990
17 O 0.471 0.609 0.317
18 O 0.484 0.402 0.675
19 O 0.505 0.932 0.662
20 O 0.538 0.067 0.323
21 O 0.539 0.747 0.002
22 O 0.967 0.554 0.835
23 O 0.991 0.887 0.172
24 O 0.992 0.115 0.829

Results
As for the space group: P1, No. 1. The density of states at the Fermi level is 1.09 states/eV per cell.

--- two ---
A relaxed structure of Li7Mn2Co3O12, computed with PBE+U.

Lattice parameters (Å, degrees): 6.571 6.571 5.057 97.49 97.49 83.85
Positions (direct):
1 Li 0.000 0.000 0.000
2 Li 0.084 0.416 0.248
3 Li 0.243 0.243 0.762
4 Li 0.416 0.084 0.248
5 Li 0.584 0.916 0.752
6 Li 0.757 0.757 0.238
7 Li 0.916 0.584 0.752
8 Mn 0.164 0.836 0.500
9 Mn 0.836 0.164 0.500
10 Co 0.324 0.676 0.000
11 Co 0.500 0.500 0.500
12 Co 0.676 0.324 0.000
13 O 0.060 0.714 0.144
14 O 0.113 0.113 0.395
15 O 0.210 0.562 0.620
16 O 0.286 0.940 0.856
17 O 0.389 0.389 0.134
18 O 0.438 0.790 0.380
19 O 0.562 0.210 0.620
20 O 0.611 0.611 0.866
21 O 0.714 0.060 0.144
22 O 0.790 0.438 0.380
23 O 0.887 0.887 0.605
24 O 0.940 0.286 0.856

Results
As for the space group: C2/m, No. 12.

Which one sits at the bottom of the stability order? one does.